Tb4Sm2YTm2: relaxed, PBE.

Summary:
E_form ... 0.02 eV per atom
Energy ... -43.2 eV/f.u.
Density ... 7.87 g/cm3

Structure (extended XYZ):
```
9
Lattice="9.260 -1.778 0.000 9.260 1.778 0.000 -0.013 0.000 8.736" Properties=species:S:1:pos:R:3 pbc="T T T"
Tb 1.039 0.000 1.468
Tb 5.142 0.000 7.260
Tb 13.366 0.000 1.476
Tb 17.469 0.000 7.268
Sm 7.191 0.000 1.478
Sm 11.317 0.000 7.258
Y 9.254 0.000 4.368
Tm 3.098 0.000 4.361
Tm 15.409 0.000 4.375
```